No. 1
First-principles (PBE) data for a geometry-optimized BaMg2Zr structure, as listed in the Alexandria database.

Properties
Space-group type: Immm (71)
Polymorph energy (0 for the lowest one) (kJ/mol of formula units): 98.6
E_form (meV/atom): 392
D(E_F) (states/eV per atom): 1.340

The structure in CIF format:
```
data_BaMg2Zr
_chemical_formula_sum 'Ba1 Mg2 Zr1'
_cell_length_a 6.7250
_cell_length_b 6.7250
_cell_length_c 6.7250
_cell_angle_alpha 149.19
_cell_angle_beta 130.59
_cell_angle_gamma 59.37
_space_group_name_H-M_alt 'P 1'
_space_group_IT_number 1
_space_group_name_Hall 'P 1'
loop_
_atom_site_label
_atom_site_type_symbol
_atom_site_fract_x
_atom_site_fract_y
_atom_site_fract_z
Ba1 Ba 0.0000 0.0000 0.0000
Mg1 Mg 0.2772 0.7772 0.5000
Mg2 Mg 0.7228 0.2228 0.5000
Zr1 Zr 0.5000 0.5000 0.0000
```

***

No. 2
First-principles (PBE) data for a geometry-optimized Tm12Tl5Zn2 structure, as listed in the Alexandria database.

Properties
Space-group type: C2/m (12)
E_form (meV/atom): -137
D(E_F) (states/eV per atom): 0.984

The structure in CIF format:
```
data_Tm12Tl5Zn2
_chemical_formula_sum 'Tm12 Tl5 Zn2'
_cell_length_a 9.1762
_cell_length_b 9.1762
_cell_length_c 8.9155
_cell_angle_alpha 96.58
_cell_angle_beta 96.58
_cell_angle_gamma 45.04
_space_group_name_H-M_alt 'P 1'
_space_group_IT_number 1
_space_group_name_Hall 'P 1'
loop_
_atom_site_label
_atom_site_type_symbol
_atom_site_fract_x
_atom_site_fract_y
_atom_site_fract_z
Tm1 Tm 0.0047 0.0047 0.1938
Tm2 Tm 0.0949 0.6040 0.9841
Tm3 Tm 0.1020 0.5896 0.5741
Tm4 Tm 0.3960 0.9051 0.0159
Tm5 Tm 0.4104 0.8980 0.4259
Tm6 Tm 0.4648 0.4648 0.3186
Tm7 Tm 0.5352 0.5352 0.6814
Tm8 Tm 0.5896 0.1020 0.5741
Tm9 Tm 0.6040 0.0949 0.9841
Tm10 Tm 0.8980 0.4104 0.4259
Tm11 Tm 0.9051 0.3960 0.0159
Tm12 Tm 0.9953 0.9953 0.8062
Tl1 Tl 0.2003 0.2003 0.7364
Tl2 Tl 0.2745 0.2745 0.2539
Tl3 Tl 0.5000 0.5000 0.0000
Tl4 Tl 0.7255 0.7255 0.7461
Tl5 Tl 0.7997 0.7997 0.2636
Zn1 Zn 0.1696 0.8304 0.5000
Zn2 Zn 0.8304 0.1696 0.5000
```

***

No. 3
First-principles (PBE) data for a geometry-optimized KCd2Rh structure, as listed in the Alexandria database.

Properties
Space-group type: Pm (6)
Polymorph energy (0 for the lowest one) (kJ/mol of formula units): 13.9
E_form (meV/atom): 58
D(E_F) (states/eV per atom): 0.448

The structure in CIF format:
```
data_KCd2Rh
_chemical_formula_sum 'K1 Cd2 Rh1'
_cell_length_a 3.1800
_cell_length_b 4.4515
_cell_length_c 7.7513
_cell_angle_alpha 90.00
_cell_angle_beta 90.12
_cell_angle_gamma 90.00
_space_group_name_H-M_alt 'P 1'
_space_group_IT_number 1
_space_group_name_Hall 'P 1'
loop_
_atom_site_label
_atom_site_type_symbol
_atom_site_fract_x
_atom_site_fract_y
_atom_site_fract_z
K1 K 0.0000 0.0000 0.0000
Cd1 Cd 0.4994 0.5000 0.3335
Cd2 Cd 0.5014 0.0000 0.6085
Rh1 Rh 0.0017 0.5000 0.6238
```

***

No. 4
First-principles (PBE) data for a geometry-optimized Li2Y2Ni15 structure, as listed in the Alexandria database.

Properties
Space-group type: R-3m (166)
E_form (meV/atom): -226
D(E_F) (states/eV per atom): 1.168

The structure in CIF format:
```
data_Li2Y2Ni15
_chemical_formula_sum 'Li2 Y2 Ni15'
_cell_length_a 6.2734
_cell_length_b 6.2734
_cell_length_c 6.2734
_cell_angle_alpha 83.25
_cell_angle_beta 83.25
_cell_angle_gamma 83.25
_space_group_name_H-M_alt 'P 1'
_space_group_IT_number 1
_space_group_name_Hall 'P 1'
loop_
_atom_site_label
_atom_site_type_symbol
_atom_site_fract_x
_atom_site_fract_y
_atom_site_fract_z
Li1 Li 0.0936 0.0936 0.0936
Li2 Li 0.9064 0.9064 0.9064
Y1 Y 0.3432 0.3432 0.3432
Y2 Y 0.6567 0.6567 0.6567
Ni1 Ni 0.0000 0.0000 0.5000
Ni2 Ni 0.0000 0.3039 0.6961
Ni3 Ni 0.0000 0.5000 0.0000
Ni4 Ni 0.0000 0.6961 0.3039
Ni5 Ni 0.1582 0.6569 0.6569
Ni6 Ni 0.3039 0.0000 0.6961
Ni7 Ni 0.3039 0.6961 0.0000
Ni8 Ni 0.3431 0.3431 0.8418
Ni9 Ni 0.3431 0.8418 0.3431
Ni10 Ni 0.5000 0.0000 0.0000
Ni11 Ni 0.6569 0.1582 0.6569
Ni12 Ni 0.6569 0.6569 0.1582
Ni13 Ni 0.6961 0.0000 0.3039
Ni14 Ni 0.6961 0.3039 0.0000
Ni15 Ni 0.8418 0.3431 0.3431
```

***

No. 5
First-principles (PBE) data for a geometry-optimized SrLaTl structure, as listed in the Alexandria database.

Properties
Space-group type: Cmmm (65)
E_form (meV/atom): -230
D(E_F) (states/eV per atom): 0.966

The structure in CIF format:
```
data_SrLaTl
_chemical_formula_sum 'Sr2 La2 Tl2'
_cell_length_a 7.0382
_cell_length_b 7.0382
_cell_length_c 5.9460
_cell_angle_alpha 90.00
_cell_angle_beta 90.00
_cell_angle_gamma 129.73
_space_group_name_H-M_alt 'P 1'
_space_group_IT_number 1
_space_group_name_Hall 'P 1'
loop_
_atom_site_label
_atom_site_type_symbol
_atom_site_fract_x
_atom_site_fract_y
_atom_site_fract_z
Sr1 Sr 0.1479 0.8521 0.0000
Sr2 Sr 0.8521 0.1479 0.0000
La1 La 0.3803 0.6197 0.5000
La2 La 0.6197 0.3803 0.5000
Tl1 Tl 0.0000 0.0000 0.5000
Tl2 Tl 0.5000 0.5000 0.0000
```

***

No. 6
First-principles (PBE) data for a geometry-optimized HoZr4Co2 structure, as listed in the Alexandria database.

Properties
Space-group type: P2_1/m (11)
E_form (meV/atom): -119
D(E_F) (states/eV per atom): 1.177

The structure in CIF format:
```
data_HoZr4Co2
_chemical_formula_sum 'Ho2 Zr8 Co4'
_cell_length_a 6.6974
_cell_length_b 6.0197
_cell_length_c 7.4944
_cell_angle_alpha 90.00
_cell_angle_beta 108.01
_cell_angle_gamma 90.00
_space_group_name_H-M_alt 'P 1'
_space_group_IT_number 1
_space_group_name_Hall 'P 1'
loop_
_atom_site_label
_atom_site_type_symbol
_atom_site_fract_x
_atom_site_fract_y
_atom_site_fract_z
Ho1 Ho 0.1489 0.2500 0.0312
Ho2 Ho 0.8511 0.7500 0.9688
Zr1 Zr 0.0421 0.2500 0.4163
Zr2 Zr 0.2410 0.7500 0.3404
Zr3 Zr 0.3910 0.0018 0.7642
Zr4 Zr 0.3910 0.4982 0.7642
Zr5 Zr 0.6090 0.5018 0.2358
Zr6 Zr 0.6090 0.9982 0.2358
Zr7 Zr 0.7590 0.2500 0.6596
Zr8 Zr 0.9579 0.7500 0.5837
Co1 Co 0.2997 0.7500 0.0135
Co2 Co 0.4003 0.2500 0.4195
Co3 Co 0.5997 0.7500 0.5805
Co4 Co 0.7003 0.2500 0.9865
```

***

No. 7
First-principles (PBE) data for a geometry-optimized CuHg2Au8 structure, as listed in the Alexandria database.

Properties
Space-group type: C2/m (12)
E_form (meV/atom): 128
D(E_F) (states/eV per atom): 0.421

The structure in CIF format:
```
data_CuHg2Au8
_chemical_formula_sum 'Cu1 Hg2 Au8'
_cell_length_a 7.1431
_cell_length_b 7.1431
_cell_length_c 5.0733
_cell_angle_alpha 104.57
_cell_angle_beta 104.57
_cell_angle_gamma 79.31
_space_group_name_H-M_alt 'P 1'
_space_group_IT_number 1
_space_group_name_Hall 'P 1'
loop_
_atom_site_label
_atom_site_type_symbol
_atom_site_fract_x
_atom_site_fract_y
_atom_site_fract_z
Cu1 Cu 0.0000 0.0000 0.0000
Hg1 Hg 0.1441 0.1441 0.5809
Hg2 Hg 0.8559 0.8559 0.4191
Au1 Au 0.1327 0.6271 0.0203
Au2 Au 0.2690 0.2690 0.1766
Au3 Au 0.3729 0.8673 0.9797
Au4 Au 0.4449 0.4449 0.7132
Au5 Au 0.5551 0.5551 0.2868
Au6 Au 0.6271 0.1327 0.0203
Au7 Au 0.7310 0.7310 0.8234
Au8 Au 0.8673 0.3729 0.9797
```

***

No. 8
First-principles (PBE) data for a geometry-optimized TbSm2Dy8 structure, as listed in the Alexandria database.

Properties
Space-group type: C2/m (12)
Polymorph energy (0 for the lowest one) (kJ/mol of formula units): 155.3
E_form (meV/atom): 164
D(E_F) (states/eV per atom): 1.489

The structure in CIF format:
```
data_TbSm2Dy8
_chemical_formula_sum 'Tb1 Sm2 Dy8'
_cell_length_a 8.9037
_cell_length_b 8.9037
_cell_length_c 6.6548
_cell_angle_alpha 99.56
_cell_angle_beta 99.56
_cell_angle_gamma 43.84
_space_group_name_H-M_alt 'P 1'
_space_group_IT_number 1
_space_group_name_Hall 'P 1'
loop_
_atom_site_label
_atom_site_type_symbol
_atom_site_fract_x
_atom_site_fract_y
_atom_site_fract_z
Tb1 Tb 0.0000 0.0000 0.0000
Sm1 Sm 0.2009 0.2009 0.7984
Sm2 Sm 0.7991 0.7991 0.2016
Dy1 Dy 0.1742 0.6490 0.5938
Dy2 Dy 0.2437 0.2437 0.3071
Dy3 Dy 0.3510 0.8258 0.4062
Dy4 Dy 0.4118 0.4118 0.0941
Dy5 Dy 0.5882 0.5882 0.9059
Dy6 Dy 0.6490 0.1742 0.5938
Dy7 Dy 0.7563 0.7563 0.6929
Dy8 Dy 0.8258 0.3510 0.4062
```

***

No. 9
First-principles (PBE) data for a geometry-optimized Ce2Ho7Er2 structure, as listed in the Alexandria database.

Properties
Space-group type: Cmmm (65)
Polymorph energy (0 for the lowest one) (kJ/mol of formula units): 0.0
E_form (meV/atom): 167
D(E_F) (states/eV per atom): 1.883

The structure in CIF format:
```
data_Ce2Ho7Er2
_chemical_formula_sum 'Ce2 Ho7 Er2'
_cell_length_a 10.8427
_cell_length_b 10.8427
_cell_length_c 3.5367
_cell_angle_alpha 90.00
_cell_angle_beta 90.00
_cell_angle_gamma 122.79
_space_group_name_H-M_alt 'P 1'
_space_group_IT_number 1
_space_group_name_Hall 'P 1'
loop_
_atom_site_label
_atom_site_type_symbol
_atom_site_fract_x
_atom_site_fract_y
_atom_site_fract_z
Ce1 Ce 0.2319 0.7681 0.0000
Ce2 Ce 0.7681 0.2319 0.0000
Ho1 Ho 0.0857 0.9143 0.5000
Ho2 Ho 0.1338 0.4534 0.5000
Ho3 Ho 0.4534 0.1338 0.5000
Ho4 Ho 0.5000 0.5000 0.5000
Ho5 Ho 0.5466 0.8662 0.5000
Ho6 Ho 0.8662 0.5466 0.5000
Ho7 Ho 0.9143 0.0857 0.5000
Er1 Er 0.2274 0.2274 0.0000
Er2 Er 0.7726 0.7726 0.0000
```